Entry 1:
## ThPaPN (PBE)

Data for a relaxed ThPaPN crystal.

```
ThPaPN
1.0
4.2123 0.0000 0.0000
0.0000 4.2123 0.0000
0.0000 0.0000 9.1456
Pa N Th P
2 2 2 2
direct
0.5000 0.0000 0.1128
0.0000 0.5000 0.8872
0.0000 0.0000 0.0000
0.5000 0.5000 0.0000
0.5000 0.5000 0.5000
0.0000 0.0000 0.5000
0.0000 0.5000 0.2711
0.5000 0.0000 0.7289
```

size of the total moment: 0.00 μB/f.u.
formation energy from raw total energies: -0.999 eV per atom


Entry 2:
## Ta5Nb4Cu (PBE)

Data for a relaxed Ta5Nb4Cu crystal.

```
Ta5Nb4Cu
1.0
-2.4159 -1.3886 -1.8167
2.2570 -1.8721 -1.5706
-1.7627 -11.4072 11.0638
Nb Ta Cu
4 5 1
direct
0.0000 0.0000 0.8097
0.0000 0.0000 0.6026
0.0000 0.0000 0.1903
0.0000 0.0000 0.3974
0.5000 0.5000 0.5000
0.5000 0.5000 0.2913
0.5000 0.5000 0.0914
0.5000 0.5000 0.7087
0.5000 0.5000 0.9086
0.0000 0.0000 0.0000
```

VASP energy: -10.34 eV per atom
size of the total moment: 0.00 μB/f.u.


Entry 3:
## RbLiGa2Ir (PBE)

Data for a relaxed RbLiGa2Ir crystal.

```
RbLiGa2Ir
1.0
4.8427 0.0000 0.0000
0.0000 4.8427 0.0000
0.0000 0.0000 5.2443
Rb Ir Li Ga
1 1 1 2
direct
0.5000 0.5000 0.5000
0.0000 0.0000 0.0000
0.0000 0.0000 0.5000
0.5000 0.0000 0.0000
0.0000 0.5000 0.0000
```

VASP energy: -3.83 eV per atom
size of the total moment: 0.00 μB/f.u.